# 1
Material: TiHgSb2Te
Method: DFT, PBE
State: relaxed

## Properties
space-group type: P4/mmm (123)
raw formation energy: 0.059 eV/atom
spin magnetization: 0.0 μB per cell
DOS(E_F): 0.85 states/eV per atom

Cell: 5.3314 5.3314 5.2966 Å, 90.00 90.00 90.00°
With the nearest neighbours (Å) after each atom.
Atoms (fractional coordinates):
Sb (0.0000, 0.5000, 0.0000)  2 Ti 2.67
Sb (0.5000, 0.0000, 0.0000)  2 Ti 2.67
Ti (0.0000, 0.0000, 0.0000)  2 Te 2.65, 4 Sb 2.67
Te (0.0000, 0.0000, 0.5000)  2 Ti 2.65
Hg (0.5000, 0.5000, 0.5000)  8 Sb 3.76, 4 Te 3.77

# 2
Material: Er2ThH
Method: DFT, PBE
State: relaxed

## Properties
space-group type: R-3m (166)
spin magnetization: 0.0 μB per cell
calculated total energy: -20.63 eV for the cell shown
DOS(E_F): 0.98 states/eV per atom

Cell: 3.5692 3.5692 8.6743 Å, 78.13 78.13 60.00°
With the nearest neighbours (Å) after each atom.
Atoms (fractional coordinates):
Er (0.2783, 0.2783, 0.1650)  3 H 2.49
Er (0.7217, 0.7217, 0.8350)  3 H 2.49
H (0.0000, 0.0000, 0.0000)  6 Er 2.49
Th (0.5000, 0.5000, 0.5000)  6 Er 3.49, 6 Th 3.57